[1]
This record from Alexandria describes a relaxed structure of TmAl2SiPd4. The functional is PBE.

Lattice parameters (Å, degrees): 8.566 8.566 8.566 29.19 29.19 29.19
Positions (direct):
Tm 0.000 0.000 0.000
Al 0.247 0.247 0.247
Al 0.753 0.753 0.753
Si 0.500 0.500 0.500
Pd 0.135 0.135 0.135
Pd 0.402 0.402 0.402
Pd 0.598 0.598 0.598
Pd 0.865 0.865 0.865

## Properties
Total moment, μB/f.u.: 0.0
Formation energy (no corrections), eV per atom: -0.769
Theoretical density, g/cm³: 8.5
Space-group type: No. 166
Raw total energy, eV/atom: -5.5379

---

[2]
This record from Alexandria describes a relaxed structure of Y2AlSi3Pd4. The functional is PBE.

Lattice parameters (Å, degrees): 4.166 4.166 10.164 90.00 90.00 90.00
Positions (direct):
Y 0.000 0.500 0.249
Y 0.500 0.000 0.751
Al 0.000 0.000 0.500
Si 0.000 0.500 0.869
Si 0.500 0.000 0.131
Si 0.500 0.500 0.500
Pd 0.000 0.000 0.000
Pd 0.000 0.500 0.635
Pd 0.500 0.000 0.365
Pd 0.500 0.500 0.000

## Properties
Total moment, μB/f.u.: 0.0
Formation energy (no corrections), eV per atom: -0.921
Theoretical density, g/cm³: 6.7
Space-group type: No. 115
Raw total energy, eV/atom: -6.2924